(1)
GGA-PBE InTc2Te, relaxed; SG = C2/m, No. 12; relative energy among the computed polymorphs = 0.487 eV/atom
1.0
-2.3406 -4.2809 -2.6989
5.2760 0.3161 0.4774
0.7398 -2.0626 2.2198
Te In Tc
1 1 2
Cartesian
3.0079 -0.8732 1.3486 Te
1.4677 -1.9824 -1.1107 In
-0.8004 -3.1717 -0.2396 Tc
0.0000 0.0000 0.0000 Tc

---

(2)
GGA-PBE TiAgSb2Pb, relaxed; SG = P4/mmm, No. 123
1.0
5.7594 0.0000 0.0000
0.0000 5.2352 0.0000
0.0000 0.0000 5.7594
Sb Pb Ag Ti
2 1 1 1
Cartesian
0.0000 0.0000 2.8797 Sb
2.8797 0.0000 0.0000 Sb
0.0000 0.0000 0.0000 Pb
2.8797 2.6176 2.8797 Ag
0.0000 2.6176 0.0000 Ti

---

(3)
GGA-PBE Rb3Ta2AgSe12, relaxed; SG = P2_1/c, No. 14
1.0
-9.5272 -9.9998 3.8220
1.0892 -4.4411 -8.9051
12.7041 -12.7295 -1.6379
Se Rb Ta Ag
48 12 8 4
Cartesian
8.3815 -11.0540 -4.4126 Se
1.5835 -13.5779 0.5122 Se
-3.3701 -8.2825 1.0232 Se
7.9107 -11.5128 -0.6517 Se
11.9464 -16.9012 -9.2200 Se
-0.2826 -18.0740 1.5139 Se
-7.6802 -10.2692 2.4990 Se
7.9354 -15.0341 -3.9956 Se
-2.1662 -14.4906 1.5094 Se
1.0733 -21.2202 -5.3259 Se
0.3579 -16.4816 -1.1264 Se
1.9289 -19.2925 -3.2417 Se
3.3119 -12.3910 -3.9613 Se
6.4323 -12.6797 -8.2304 Se
6.9851 -15.0017 -1.1873 Se
0.9090 -5.4682 -4.0428 Se
-0.2532 -4.7297 -0.8735 Se
-1.3719 -15.5919 -5.2136 Se
9.9045 -13.7219 -2.2274 Se
2.3372 -7.8778 -3.4793 Se
-3.6693 -12.1362 -2.7254 Se
-1.4516 -8.3427 -2.1973 Se
9.9755 -17.3523 -6.2994 Se
2.2907 -18.1581 -5.9451 Se
0.9542 -14.7793 -2.7597 Se
12.0648 -16.2357 -5.7434 Se
-1.5228 -7.9978 -6.7683 Se
-5.6384 -13.4485 -4.4937 Se
5.3341 -13.8555 -4.0887 Se
0.2530 -6.5180 0.6908 Se
3.9082 -10.6887 -5.5947 Se
3.3572 -21.7022 -2.6783 Se
5.7890 -19.1726 0.0473 Se
7.6363 -18.8878 -7.7442 Se
5.7177 -18.8276 -4.5237 Se
1.9753 -9.0123 -0.7759 Se
4.0131 -20.6523 -7.4118 Se
-4.1154 -16.1164 -2.3084 Se
-2.7190 -12.1686 -5.5338 Se
2.6826 -13.5924 -7.2332 Se
-1.0680 -13.3148 -2.6323 Se
4.5488 -9.0963 -8.2350 Se
3.1928 -5.9501 -1.3952 Se
-5.7094 -9.8180 -0.4216 Se
-3.6446 -15.6576 -6.0693 Se
4.5193 -22.4406 -5.8475 Se
5.6380 -11.5784 -1.5074 Se
-7.7986 -10.9347 -0.9776 Se
-1.5400 -18.8033 -3.7796 Rb
-5.4740 -13.5626 -0.0189 Rb
0.2636 -10.5223 -4.6299 Rb
5.4745 -16.0375 -7.0496 Rb
1.8997 -6.7575 -7.3449 Rb
9.7402 -13.6078 -6.7021 Rb
-4.7164 -9.1051 -4.2346 Rb
5.8061 -8.3671 -2.9414 Rb
2.3664 -20.4128 0.6239 Rb
-1.2084 -11.1328 0.3285 Rb
4.0026 -16.6481 -2.0911 Rb
8.9826 -18.0653 -2.4864 Rb
4.2041 -11.6717 -8.0435 Ta
-5.7875 -8.6063 1.9398 Ta
10.0537 -18.5641 -8.6608 Ta
0.5528 -6.9472 -1.8585 Ta
0.0620 -15.4986 1.3225 Ta
3.7133 -20.2231 -4.8626 Ta
7.4397 -12.7510 -2.8919 Ta
-3.1736 -14.4194 -3.8291 Ta
-2.1022 -15.2844 -0.9378 Ag
-1.3993 -7.0069 -4.3965 Ag
5.6655 -20.1635 -2.3246 Ag
6.3683 -11.8859 -5.7833 Ag

---

no.,E_form (uncorrected) (eV/atom),magnetic moment (μB/f.u.)
1,0.6822,0.0
2,1.1915,0.0
3,-0.7129,0.0